Entry 1:
Compound: Pr2GeAs
Source: Alexandria
Functional: PBE
Structure: optimized geometry

```
4
Lattice="-3.271 -1.694 -2.099 0.643 -1.954 -3.707 0.147 -7.546 1.578" Properties=species:S:1:pos:R:3 pbc="T T T"
Pr -1.870 -8.342 -3.201
Pr -0.612 -2.852 -1.027
As -1.241 -5.597 -2.114
Ge 0.000 0.000 0.000
```

ρ: 6.3 Mg/m³
ΔE_f: -1.068 eV/atom
VASP energy: -0.21219 hartree per atom
Total magnetic moment: 0.000 μB/cell
Offset from the most stable computed form: 93 meV per atom

***

Entry 2:
Compound: Pr6GeAs4
Source: Alexandria
Functional: PBE
Structure: optimized geometry

```
22
Lattice="-2.965 -0.279 3.096 5.258 -4.948 1.608 10.462 14.808 11.355" Properties=species:S:1:pos:R:3 pbc="T T T"
As 5.780 8.266 9.260
As 5.823 5.371 6.060
As 11.269 10.348 14.705
As 4.451 -2.259 4.058
As 6.976 1.315 6.798
As 8.305 11.840 12.001
As 6.933 4.210 9.998
As 1.486 -0.767 1.354
Pr 8.889 5.099 11.952
Pr 11.292 11.267 11.829
Pr 2.082 1.956 2.170
Pr 4.940 3.235 8.003
Pr 10.674 7.625 13.889
Pr 7.815 6.346 8.056
Pr 7.804 9.027 11.267
Pr 1.464 -1.686 4.230
Pr -1.482 -0.140 1.548
Pr 4.952 0.554 4.792
Pr 3.867 4.482 4.107
Pr 3.749 7.264 7.225
Ge 2.352 1.921 5.405
Ge 10.404 7.660 10.654
```

ρ: 6.2 Mg/m³
ΔE_f: -1.254 eV/atom
VASP energy: -0.21944 hartree per atom
Total magnetic moment: 0.848 μB/cell

***

Entry 3:
Compound: Pr4GeAs3
Source: Alexandria
Functional: PBE
Structure: optimized geometry

```
8
Lattice="6.098 0.000 0.000 0.000 6.098 0.000 0.000 0.000 6.098" Properties=species:S:1:pos:R:3 pbc="T T T"
Pr 3.049 3.049 3.049
Pr 0.000 3.049 0.000
Pr 0.000 0.000 3.049
Pr 3.049 0.000 0.000
As 3.049 0.000 3.049
As 3.049 3.049 0.000
As 0.000 3.049 3.049
Ge 0.000 0.000 0.000
```

ρ: 6.3 Mg/m³
ΔE_f: -1.279 eV/atom
VASP energy: -0.22010 hartree per atom
Total magnetic moment: 0.000 μB/cell